Computed, not measured: a relaxed SrMg2Zn crystal at the PBE level of DFT.

Properties
Size of the total moment: 0.000 μB per atom
Total energy: -1.570 eV per atom
Fermi-level density of states: 2.19 states/eV/f.u.
Energy of formation from the pure elements: -0.033 eV per atom

a b c (Å): 6.1806 6.1806 5.4692
angles (deg): 63.40 63.40 35.92
Last column: nearest neighbours and their distance in Å.
Positions (direct):
Mg 0.9600 0.9600 0.0405  2 Zn 2.89
Mg 0.5400 0.5400 0.4595  2 Zn 2.89
Sr 0.7500 0.7500 0.7500  4 Zn 3.33, 8 Mg 3.48-3.56
Zn 0.2500 0.2500 0.2500  4 Mg 2.89

Computed, not measured: a relaxed SrMg4Zn2 crystal at the PBE level of DFT.

Properties
Size of the total moment: 0.000 μB per atom
Total energy: -1.653 eV per atom
Fermi-level density of states: 3.30 states/eV/f.u.
Energy of formation from the pure elements: -0.137 eV per atom

a b c (Å): 4.4690 4.4678 8.7012
angles (deg): 104.88 90.00 90.00
Last column: nearest neighbours and their distance in Å.
Positions (direct):
Sr 0.0000 0.0000 0.0000  8 Zn 3.41, 8 Mg 3.77
Mg 0.5000 0.8194 0.6389  2 Zn 2.84, 4 Mg 3.16
Mg 0.0000 0.6808 0.3616  2 Zn 2.84, 4 Mg 3.16
Mg 0.5000 0.1806 0.3611  2 Zn 2.84, 4 Mg 3.16
Mg 0.0000 0.3192 0.6384  2 Zn 2.84, 4 Mg 3.16
Zn 0.5000 0.5765 0.1529  1 Zn 2.57, 4 Mg 2.84
Zn 0.5000 0.4235 0.8471  1 Zn 2.57, 4 Mg 2.84

Computed, not measured: a relaxed SrMg2Zn crystal at the PBE level of DFT.

Properties
Size of the total moment: 0.000 μB per atom
Total energy: -1.574 eV per atom
Fermi-level density of states: 2.67 states/eV/f.u.
Energy of formation from the pure elements: -0.038 eV per atom

a b c (Å): 6.4901 6.4901 6.4901
angles (deg): 42.93 42.93 42.93
Last column: nearest neighbours and their distance in Å.
Positions (direct):
Mg 0.0477 0.0477 0.0477  3 Zn 2.81, 3 Mg 3.02
Mg 0.4523 0.4523 0.4523  3 Zn 2.81, 3 Mg 3.02
Sr 0.2500 0.2500 0.2500  8 Mg 3.57-3.59
Zn 0.7500 0.7500 0.7500  6 Mg 2.81